Be3Cd4 | SCAN | PBEsol geometry

Lattice parameters (Å, degrees): 4.723 4.723 5.678 90.00 90.00 120.00
Element x y z (fractional)
Cd 0.667 0.333 0.500
Cd 0.000 0.000 0.758
Cd 0.333 0.667 0.500
Cd 0.000 0.000 0.242
Be 0.500 0.500 0.000
Be 0.000 0.500 0.000
Be 0.500 0.000 0.000

Crystal system ... hexagonal
Formation energy from the elements ... 301 meV/atom

BeCd3 | SCAN | PBEsol geometry

Lattice parameters (Å, degrees): 3.020 3.020 8.872 90.00 90.00 120.00
Element x y z (fractional)
Be 0.000 0.000 0.000
Cd 0.333 0.667 0.216
Cd 0.000 0.000 0.500
Cd 0.333 0.667 0.784

ΔE to the lowest computed polymorph ... 0.000 eV/atom
Crystal system ... hexagonal
Formation energy from the elements ... 232 meV/atom

BeCd | SCAN | PBEsol geometry

Lattice parameters (Å, degrees): 2.733 3.536 6.281 90.00 90.00 90.00
Element x y z (fractional)
Cd 0.000 0.500 0.841
Cd 0.500 0.000 0.159
Be 0.000 0.000 0.504
Be 0.500 0.500 0.496

ΔE to the lowest computed polymorph ... 0.000 eV/atom
Crystal system ... orthorhombic
Formation energy from the elements ... 317 meV/atom

Be3Cd | SCAN | PBEsol geometry

Lattice parameters (Å, degrees): 2.665 3.883 4.558 90.00 90.99 90.00
Element x y z (fractional)
Be 0.000 0.500 0.500
Be 0.207 0.000 0.297
Be 0.793 0.000 0.703
Cd 0.500 0.500 0.000

ΔE to the lowest computed polymorph ... 0.031 eV/atom
Crystal system ... monoclinic
Formation energy from the elements ... 410 meV/atom

BeCd | SCAN | PBEsol geometry

Lattice parameters (Å, degrees): 4.003 4.003 8.726 90.00 90.00 120.00
Element x y z (fractional)
Be 0.000 0.000 0.250
Be 0.667 0.333 0.250
Be 0.000 0.000 0.750
Be 0.333 0.667 0.750
Cd 0.667 0.333 0.592
Cd 0.333 0.667 0.408
Cd 0.333 0.667 0.092
Cd 0.667 0.333 0.908

ΔE to the lowest computed polymorph ... 0.052 eV/atom
Crystal system ... hexagonal
Formation energy from the elements ... 369 meV/atom

Be2CdCl | SCAN | PBEsol geometry

Lattice parameters (Å, degrees): 2.853 3.047 9.215 90.00 90.00 117.91
Element x y z (fractional)
Cl 0.500 0.000 0.855
Cd 0.000 0.000 0.439
Be 0.500 0.000 0.200
Be 0.000 0.000 0.006

Crystal system ... orthorhombic

BeCd3Cl | SCAN | PBEsol geometry

Lattice parameters (Å, degrees): 4.766 4.766 4.766 90.00 90.00 90.00
Element x y z (fractional)
Cd 0.500 0.000 0.000
Cd 0.000 0.500 0.000
Cd 0.000 0.000 0.500
Cl 0.500 0.500 0.500
Be 0.000 0.000 0.000

Crystal system ... cubic

Be3CdCo | SCAN | PBEsol geometry

Lattice parameters (Å, degrees): 3.985 3.985 3.985 90.00 90.00 90.00
Element x y z (fractional)
Be 0.500 0.000 0.000
Be 0.000 0.000 0.500
Be 0.000 0.500 0.000
Co 0.000 0.000 0.000
Cd 0.500 0.500 0.500

Crystal system ... cubic
Formation energy from the elements ... 488 meV/atom

Be2CdCo | SCAN | PBEsol geometry

Lattice parameters (Å, degrees): 4.030 4.030 4.030 60.00 60.00 60.00
Element x y z (fractional)
Be 0.000 0.000 0.000
Be 0.750 0.750 0.750
Co 0.250 0.250 0.250
Cd 0.500 0.500 0.500

Crystal system ... cubic
Formation energy from the elements ... 362 meV/atom

Be2CrCd | SCAN | PBEsol geometry

Lattice parameters (Å, degrees): 2.561 4.316 4.626 107.47 106.07 90.00
Element x y z (fractional)
Cr 0.268 0.818 0.535
Cd 0.483 0.445 0.966
Be 0.022 0.962 0.045
Be 0.727 0.275 0.455

Crystal system ... monoclinic
Formation energy from the elements ... 397 meV/atom

BeCrCd3 | SCAN | PBEsol geometry

Lattice parameters (Å, degrees): 4.573 4.573 4.573 90.00 90.00 90.00
Each line ends with the local moment (μB).
Element x y z (fractional)
Be 0.000 0.000 0.000  0.01
Cr 0.500 0.500 0.500  4.22
Cd 0.500 0.000 0.000  0.00
Cd 0.000 0.000 0.500  0.00
Cd 0.000 0.500 0.000  0.00

Crystal system ... cubic
Formation energy from the elements ... 444 meV/atom

BeCrCd | SCAN | PBEsol geometry

Lattice parameters (Å, degrees): 3.986 3.986 3.986 60.00 60.00 60.00
Each line ends with the local moment (μB).
Element x y z (fractional)
Be 0.250 0.250 0.250  -0.12
Cr 0.500 0.500 0.500  3.37
Cd 0.000 0.000 0.000  -0.10

Crystal system ... cubic
Formation energy from the elements ... 423 meV/atom

Be2CrCd | SCAN | PBEsol geometry

Lattice parameters (Å, degrees): 3.090 3.903 3.903 90.00 90.00 90.00
Each line ends with the local moment (μB).
Element x y z (fractional)
Cd 0.500 0.500 0.500  -0.04
Cr 0.500 0.000 0.000  2.37
Be 0.000 0.000 0.500  -0.06
Be 0.000 0.500 0.000  -0.06

Crystal system ... tetragonal
Formation energy from the elements ... 233 meV/atom

Cs3BeCd | SCAN | PBEsol geometry

Lattice parameters (Å, degrees): 7.057 7.057 7.057 90.00 90.00 90.00
Element x y z (fractional)
Cs 0.000 0.500 0.000
Cs 0.500 0.000 0.000
Cs 0.000 0.000 0.500
Be 0.500 0.500 0.500
Cd 0.000 0.000 0.000

Crystal system ... cubic
Formation energy from the elements ... 690 meV/atom

BeCd2Cu2 | SCAN | PBEsol geometry

Lattice parameters (Å, degrees): 3.262 3.262 7.679 102.26 102.26 90.00
Element x y z (fractional)
Cd 0.399 0.399 0.799
Cd 0.601 0.601 0.201
Be 0.000 0.000 0.000
Cu 0.250 0.750 0.500
Cu 0.750 0.250 0.500

Crystal system ... tetragonal
Formation energy from the elements ... 358 meV/atom

BeCd2Cu | SCAN | PBEsol geometry

Lattice parameters (Å, degrees): 4.346 4.393 4.346 60.35 90.00 119.65
Element x y z (fractional)
Be 0.000 0.000 0.000
Cd 0.250 0.500 0.250
Cd 0.750 0.500 0.750
Cu 0.500 0.000 0.500

ΔE to the lowest computed polymorph ... 0.000 eV/atom
Crystal system ... tetragonal
Formation energy from the elements ... 206 meV/atom

BeCd2Cu | SCAN | PBEsol geometry

Lattice parameters (Å, degrees): 3.081 3.078 6.225 90.00 90.00 90.00
Element x y z (fractional)
Cu 0.500 0.500 0.000
Cd 0.000 0.000 0.742
Cd 0.000 0.000 0.258
Be 0.500 0.500 0.500

ΔE to the lowest computed polymorph ... 0.006 eV/atom
Crystal system ... tetragonal
Formation energy from the elements ... 211 meV/atom

BeCd2Cu | SCAN | PBEsol geometry

Lattice parameters (Å, degrees): 2.866 2.866 8.738 80.56 80.56 60.00
Element x y z (fractional)
Cu 0.500 0.500 0.500
Be 0.000 0.000 0.000
Cd 0.252 0.252 0.243
Cd 0.748 0.748 0.757

ΔE to the lowest computed polymorph ... 0.115 eV/atom
Crystal system ... trigonal
Formation energy from the elements ... 321 meV/atom

Be2CdCu | SCAN | PBEsol geometry

Lattice parameters (Å, degrees): 2.818 2.818 5.899 90.00 90.00 90.00
Element x y z (fractional)
Cu 0.500 0.500 0.812
Cd 0.000 0.000 0.488
Be 0.500 0.500 0.196
Be 0.000 0.000 0.004

Crystal system ... tetragonal
Formation energy from the elements ... 94 meV/atom

Be2CdCu | SCAN | PBEsol geometry

Lattice parameters (Å, degrees): 2.745 4.219 4.536 107.79 107.61 90.00
Element x y z (fractional)
Cd 0.493 0.475 0.987
Cu 0.271 0.812 0.541
Be 0.008 0.985 0.016
Be 0.728 0.227 0.456

Crystal system ... monoclinic
Formation energy from the elements ... 172 meV/atom

| no. | calculated total energy (eV/atom) | calculated volume (Å³/cell) | density (Mg/m³) |
| --- | --- | --- | --- |
| 1 | -18.944 | 109.7 | 7.215 |
| 2 | -23.668 | 70.1 | 8.204 |
| 3 | -17.067 | 60.7 | 6.643 |
| 4 | -10.459 | 47.2 | 4.909 |
| 5 | -17.015 | 121.1 | 6.661 |
| 6 | -11.643 | 70.8 | 3.891 |
| 7 | -20.758 | 108.3 | 5.853 |
| 8 | -11.668 | 63.3 | 5.207 |
| 9 | -13.745 | 46.3 | 6.796 |
| 10 | -13.980 | 46.7 | 6.490 |
| 11 | -22.353 | 95.6 | 6.917 |
| 12 | -17.295 | 44.8 | 6.432 |
| 13 | -14.143 | 47.1 | 6.435 |
| 14 | -28.950 | 351.5 | 2.457 |
| 15 | -18.758 | 77.9 | 7.691 |
| 16 | -19.890 | 59.3 | 8.331 |
| 17 | -19.884 | 59.0 | 8.366 |
| 18 | -19.775 | 61.1 | 8.088 |
| 19 | -13.486 | 46.8 | 6.877 |
| 20 | -13.408 | 47.4 | 6.792 |